DFT (PBE) results for HoEr2Ir3 after structural relaxation.

The value obtained for the magnetic moment is 0.00 μB per formula unit. The value obtained for the formation energy is -0.872 eV per atom. The value obtained for the total DFT energy (no corrections) is -7.59 eV/atom.

The space group is P-3m1 (No. 164) and the conventional cell measures 4.8121, 4.8121 and 5.8907 Å, with angles of 90.00, 90.00 and 120.00 degrees. Symmetry generates all atoms from Ho at (0.0000, 0.0000, 0.0000), Er at (0.3333, 0.6667, 0.6663), Ir at (0.0000, 0.0000, 0.5000) and Ir at (0.3333, 0.6667, 0.1674).